Below is crystalline LiBeNiPb at its relaxed geometry, with properties calculated at the PBE level.

The crystal system is cubic. The calculation puts the energy above the most stable polymorph in this dataset at 79.1 meV/atom.

Cell and atoms, written as POSCAR:
```
LiBeNiPb
1.0
0.0000 3.0251 3.0251
3.0251 0.0000 3.0251
3.0251 3.0251 0.0000
Li Be Ni Pb
1 1 1 1
Direct
0.0000 0.0000 0.0000
0.5000 0.5000 0.5000
0.7500 0.7500 0.7500
0.2500 0.2500 0.2500
```